# 1
A geometry-optimized Ce2PmDy3Tm6 structure, computed with PBE.

POSCAR file:
```
Ce2PmDy3Tm6
1.0
3.048 -5.278 0.000
3.048 5.278 0.000
-2.031 0.000 11.435
Ce Pm Dy Tm
2 1 3 6
Direct
0.167 0.833 0.000 Ce
0.833 0.167 0.000 Ce
0.500 0.500 0.000 Pm
0.000 0.000 0.500 Dy
0.334 0.666 0.500 Dy
0.666 0.334 0.500 Dy
0.081 0.416 0.750 Tm
0.248 0.248 0.250 Tm
0.416 0.081 0.750 Tm
0.584 0.919 0.250 Tm
0.752 0.752 0.750 Tm
0.919 0.584 0.250 Tm
```

Calculated values
- Energy: -56.66 eV/f.u.
- Calculated formation energy: 0.05 eV per atom

=====

# 2
A geometry-optimized Ga3CuBr12 structure, computed with PBE.

POSCAR file:
```
Ga3CuBr12
1.0
5.852 3.379 11.796
-5.852 3.379 11.796
0.000 -6.757 11.796
Ga Cu Br
6 2 24
Direct
0.043 0.332 0.625 Ga
0.125 0.832 0.543 Ga
0.332 0.625 0.043 Ga
0.543 0.125 0.832 Ga
0.625 0.043 0.332 Ga
0.832 0.543 0.125 Ga
0.277 0.277 0.277 Cu
0.777 0.777 0.777 Cu
0.006 0.971 0.660 Br
0.053 0.319 0.441 Br
0.107 0.761 0.140 Br
0.140 0.107 0.761 Br
0.160 0.471 0.506 Br
0.233 0.936 0.306 Br
0.261 0.607 0.640 Br
0.306 0.233 0.936 Br
0.319 0.441 0.053 Br
0.436 0.733 0.806 Br
0.441 0.053 0.319 Br
0.471 0.506 0.160 Br
0.506 0.160 0.471 Br
0.553 0.941 0.819 Br
0.607 0.640 0.261 Br
0.640 0.261 0.607 Br
0.660 0.006 0.971 Br
0.733 0.806 0.436 Br
0.761 0.140 0.107 Br
0.806 0.436 0.733 Br
0.819 0.553 0.941 Br
0.936 0.306 0.233 Br
0.941 0.819 0.553 Br
0.971 0.660 0.006 Br
```

Calculated values
- Energy: -42.49 eV/f.u.
- ΔE_f (raw): -0.578 eV/atom

=====

# 3
A geometry-optimized SmDy3Fe8 structure, computed with PBE.

POSCAR file:
```
SmDy3Fe8
1.0
2.578 1.488 8.415
-2.578 1.488 8.415
0.000 -2.977 8.415
Sm Dy Fe
1 3 8
Direct
0.000 0.000 0.000 Sm
0.125 0.125 0.125 Dy
0.500 0.500 0.500 Dy
0.625 0.625 0.625 Dy
0.062 0.062 0.560 Fe
0.062 0.560 0.062 Fe
0.064 0.563 0.563 Fe
0.312 0.312 0.312 Fe
0.560 0.062 0.062 Fe
0.563 0.064 0.563 Fe
0.563 0.563 0.064 Fe
0.813 0.813 0.813 Fe
```

Calculated values
- Energy: -86.89 eV/f.u.
- Calculated formation energy: -0.05 eV per atom

=====

# 4
A geometry-optimized YHo2Co structure, computed with PBE.

POSCAR file:
```
YHo2Co
1.0
1.844 -5.962 0.000
1.844 5.962 0.000
0.000 0.000 9.266
Y Ho Co
2 4 2
Direct
0.082 0.918 0.750 Y
0.918 0.082 0.250 Y
0.359 0.641 0.571 Ho
0.359 0.641 0.929 Ho
0.641 0.359 0.071 Ho
0.641 0.359 0.429 Ho
0.246 0.754 0.250 Co
0.754 0.246 0.750 Co
```

Calculated values
- Energy: -23.29 eV/f.u.
- Excess energy over the best structure of this formula in the dataset: 25 meV/atom
- Calculated formation energy: -0.14 eV per atom

=====

# 5
A geometry-optimized BaCo2BP structure, computed with PBE.

POSCAR file:
```
BaCo2BP
1.0
4.412 0.000 0.000
0.000 4.412 0.000
0.000 0.000 4.367
Ba Co B P
1 2 1 1
Direct
0.000 0.000 0.000 Ba
0.000 0.500 0.500 Co
0.500 0.000 0.500 Co
0.500 0.500 0.000 B
0.500 0.500 0.500 P
```

Calculated values
- Energy: -25.41 eV/f.u.
- Calculated formation energy: 0.56 eV per atom

=====

# 6
A geometry-optimized Na6Hg2O structure, computed with PBE.

POSCAR file:
```
Na6Hg2O
1.0
-3.492 3.492 4.776
3.492 -3.492 4.776
3.492 3.492 -4.776
Na Hg O
6 2 1
Direct
0.231 0.231 0.462 Na
0.231 0.769 0.000 Na
0.238 0.238 0.000 Na
0.762 0.762 0.000 Na
0.769 0.231 0.000 Na
0.769 0.769 0.538 Na
0.250 0.750 0.500 Hg
0.750 0.250 0.500 Hg
0.000 0.000 0.000 O
```

Calculated values
- Energy: -17.94 eV/f.u.
- Excess energy over the best structure of this formula in the dataset: 0 meV/atom
- ΔE_f (raw): -0.496 eV/atom

=====

# 7
A geometry-optimized SrPb5 structure, computed with PBE.

POSCAR file:
```
SrPb5
1.0
6.610 -1.987 0.000
6.610 1.987 0.000
-2.229 0.000 7.421
Sr Pb
1 5
Direct
0.000 0.000 0.000 Sr
0.303 0.303 0.127 Pb
0.326 0.326 0.658 Pb
0.655 0.655 0.787 Pb
0.674 0.674 0.351 Pb
0.976 0.976 0.462 Pb
```

Calculated values
- Energy: -21.05 eV/f.u.
- Excess energy over the best structure of this formula in the dataset: 58 meV/atom
- Calculated formation energy: -0.14 eV per atom

=====

# 8
A geometry-optimized InMoPt2 structure, computed with PBE.

POSCAR file:
```
InMoPt2
1.0
4.909 0.000 0.000
0.000 4.909 0.000
0.000 0.000 2.819
In Mo Pt
1 1 2
Direct
0.000 0.000 0.000 In
0.500 0.500 0.000 Mo
0.000 0.500 0.500 Pt
0.500 0.000 0.500 Pt
```

Calculated values
- Energy: -26.18 eV/f.u.
- Calculated formation energy: -0.13 eV per atom

=====

# 9
A geometry-optimized ZrAuNO2 structure, computed with PBE.

POSCAR file:
```
ZrAuNO2
1.0
4.105 0.000 0.000
0.000 4.105 0.000
0.000 0.000 4.435
Zr Au N O
1 1 1 2
Direct
0.000 0.000 0.000 Zr
0.500 0.500 0.500 Au
0.000 0.000 0.500 N
0.000 0.500 0.000 O
0.500 0.000 0.000 O
```

Calculated values
- Energy: -32.72 eV/f.u.
- ΔE_f (raw): -0.531 eV/atom

=====

# 10
A geometry-optimized V5NiRu6 structure, computed with PBE.

POSCAR file:
```
V5NiRu6
1.0
-2.121 3.012 6.319
2.121 -3.012 6.319
2.121 3.012 -6.319
V Ni Ru
5 1 6
Direct
0.000 0.000 0.000 V
0.166 0.666 0.500 V
0.344 0.344 0.000 V
0.656 0.656 0.000 V
0.834 0.334 0.500 V
0.500 0.000 0.500 Ni
0.075 0.829 0.246 Ru
0.243 0.500 0.743 Ru
0.417 0.171 0.246 Ru
0.583 0.829 0.754 Ru
0.757 0.500 0.257 Ru
0.925 0.171 0.754 Ru
```

Calculated values
- Energy: -109.69 eV/f.u.
- Calculated formation energy: -0.22 eV per atom

=====

# 11
A geometry-optimized Mg2ZrW structure, computed with PBE.

POSCAR file:
```
Mg2ZrW
1.0
-1.663 2.309 5.120
1.663 -2.309 5.120
1.663 2.309 -5.120
Mg Zr W
2 1 1
Direct
0.235 0.235 0.000 Mg
0.765 0.765 0.000 Mg
0.500 0.000 0.500 Zr
0.000 0.500 0.500 W
```

Calculated values
- Energy: -23.43 eV/f.u.
- Excess energy over the best structure of this formula in the dataset: 112 meV/atom
- Calculated formation energy: 0.31 eV per atom

=====

# 12
A geometry-optimized K4Pa3HgO12 structure, computed with PBE.

POSCAR file:
```
K4Pa3HgO12
1.0
-4.362 4.362 4.362
4.362 -4.362 4.362
4.362 4.362 -4.362
K Pa Hg O
4 3 1 12
Direct
0.000 0.000 0.500 K
0.000 0.500 0.000 K
0.500 0.000 0.000 K
0.500 0.500 0.500 K
0.000 0.500 0.500 Pa
0.500 0.000 0.500 Pa
0.500 0.500 0.000 Pa
0.000 0.000 0.000 Hg
0.000 0.261 0.261 O
0.000 0.739 0.739 O
0.250 0.500 0.750 O
0.250 0.750 0.500 O
0.261 0.000 0.261 O
0.261 0.261 0.000 O
0.500 0.250 0.750 O
0.500 0.750 0.250 O
0.739 0.000 0.739 O
0.739 0.739 0.000 O
0.750 0.250 0.500 O
0.750 0.500 0.250 O
```

Calculated values
- Energy: -140.89 eV/f.u.
- ΔE_f (raw): -2.411 eV/atom